# GGA-PBE TaTl2Ru, relaxed
# * calculated total energy: -48.02 eV per cell
# * energy of formation: 0.46 eV/atom
data_TaTl2Ru
_chemical_formula_sum 'Ta2 Tl4 Ru2'
_cell_length_a 3.109
_cell_length_b 4.840
_cell_length_c 11.580
_cell_angle_alpha 90.00
_cell_angle_beta 90.00
_cell_angle_gamma 90.00
_space_group_name_H-M_alt 'I m m 2'
_space_group_IT_number 44
_space_group_name_Hall 'I 2 -2'
loop_
_atom_site_label
_atom_site_type_symbol
_atom_site_fract_x
_atom_site_fract_y
_atom_site_fract_z
Ta1 Ta 0.000 0.000 0.000
Tl1 Tl 0.000 0.000 0.419
Tl2 Tl 0.000 0.500 0.208
Ru1 Ru 0.000 0.500 0.666